CdCuBi3 | PBE | relaxed

Output
* E above lowest polymorph: 0.0 meV/atom
* formation energy from the elements: 0.395 eV/atom
* VASP energy: -2.936 eV/atom
* space group: Pm-3m (221)

extended XYZ file:
```
5
Lattice="5.308 0.000 0.000 0.000 5.308 0.000 0.000 0.000 5.308" Properties=species:S:1:pos:R:3 pbc="T T T"
Bi 0.000 2.654 0.000
Bi 0.000 0.000 2.654
Bi 2.654 0.000 0.000
Cu 0.000 0.000 0.000
Cd 2.654 2.654 2.654
```